1.
5
Lattice="-1.771 -3.957 1.789 3.455 -2.454 -2.008 2.630 0.560 3.842" Properties=species:S:1:pos:R:3 comment="Ti3BOs (PBE-GGA, relaxed)" formation_enthalpy_0k_kj_per_mol_atoms=118.5 dft_energy_ev_per_atom=-7.091 n_ef_per_ev_fu=7.19 relative_energy_mev_per_atom=1310 pbc="T T T"
Os 0.000 0.000 0.000
B 2.157 -2.926 1.812
Ti 1.728 -1.227 -1.004
Ti 1.315 0.280 1.921
Ti -0.886 -1.978 0.894

---

2.
11
Lattice="6.076 0.000 2.900 3.038 6.061 1.450 -0.516 0.000 8.895" Properties=species:S:1:pos:R:3 comment="K2Tl5Au4 (PBE-GGA, relaxed)" formation_enthalpy_0k_kj_per_mol_atoms=-10.8 dft_energy_ev_per_atom=-2.578 n_ef_per_ev_fu=5.40 relative_energy_mev_per_atom=0 pbc="T T T"
Au 6.593 4.597 9.631
Au 5.042 4.597 5.065
Au 2.004 1.464 3.615
Au 3.555 1.464 8.180
Tl 5.817 3.031 7.348
Tl 4.557 3.031 2.175
Tl 3.038 0.000 1.450
Tl 1.519 3.031 0.725
Tl 2.780 3.031 5.898
K 5.014 0.000 5.123
K 0.545 0.000 6.672

---

3.
5
Lattice="5.221 0.000 0.000 0.000 5.221 0.000 0.000 0.000 4.539" Properties=species:S:1:pos:R:3 comment="AsRhPbSe2 (PBE-GGA, relaxed)" dft_energy_ev_per_atom=-4.466 n_ef_per_ev_fu=3.67 raw_formation_energy_ev_per_atom=0.069 relative_energy_mev_per_atom=0 pbc="T T T"
As 0.000 0.000 2.270
Rh 0.000 0.000 0.000
Pb 2.611 2.611 2.270
Se 0.000 2.611 0.000
Se 2.611 0.000 0.000

---

Repeat the second record exactly.
11
Lattice="6.076 0.000 2.900 3.038 6.061 1.450 -0.516 0.000 8.895" Properties=species:S:1:pos:R:3 comment="K2Tl5Au4 (PBE-GGA, relaxed)" formation_enthalpy_0k_kj_per_mol_atoms=-10.8 dft_energy_ev_per_atom=-2.578 n_ef_per_ev_fu=5.40 relative_energy_mev_per_atom=0 pbc="T T T"
Au 6.593 4.597 9.631
Au 5.042 4.597 5.065
Au 2.004 1.464 3.615
Au 3.555 1.464 8.180
Tl 5.817 3.031 7.348
Tl 4.557 3.031 2.175
Tl 3.038 0.000 1.450
Tl 1.519 3.031 0.725
Tl 2.780 3.031 5.898
K 5.014 0.000 5.123
K 0.545 0.000 6.672

---

Question: Which formula does entry 1 have?
Answer: Ti3BOs